Pr5Mg, PBEsol geometry, DFT SCAN; E above lowest polymorph = 0 meV per atom; crystal system = trigonal; uncorrected energy = -36.96 eV/atom
1.0
6.259 0.000 0.000
3.130 5.421 0.000
3.130 1.807 5.680
Pr Mg
5 1
direct
0.658 0.658 0.026
0.870 0.130 0.500
0.342 0.342 0.974
0.500 0.870 0.500
0.130 0.500 0.500
0.000 0.000 0.000